--- P ---
Dy2Tm5Tl | PBE | relaxed

a = 5.3482 Å, b = 11.7899 Å, c = 15.3241 Å
α = 90.00°, β = 90.00°, γ = 90.00°
With the nearest neighbours (Å) after each atom.
Space group Cmcm (No. 63)
Asymmetric unit:
Dy  0.0000  0.2199  0.1333 x8  4 Tm 3.22-3.53, 2 Tl 3.24, 1 Dy 3.58
Tm  0.0000  0.0831  0.5889 x8  1 Tl 3.13, 3 Tm 3.36-3.45
Tm  0.0000  0.3894  0.5521 x8  2 Tm 3.06-3.41, 2 Dy 3.22
Tm  0.0000  0.4777  0.2500 x4  1 Tl 3.26, 2 Tm 3.41, 2 Dy 3.53
Tl  0.0000  0.2458  0.7500 x4  5 Tm 3.13-3.47, 4 Dy 3.24

Output
M_tot ... 0.00 μB per formula unit

=====

--- Q ---
Dy2Tm5Tl | PBE | relaxed

a = 21.1543 Å, b = 6.5859 Å, c = 3.5195 Å
α = 90.00°, β = 99.51°, γ = 90.00°
With the nearest neighbours (Å) after each atom.
Space group C2/m (No. 12)
Asymmetric unit:
Dy  0.2388  0.0000  0.2379 x4  6 Tm 3.48-3.54, 6 Dy 3.52-3.77
Tm  0.0000  0.0000  0.0000 x2  2 Tl 3.29, 10 Tm 3.39-3.52
Tm  0.1144  0.2489  0.6137 x8  6 Tm 3.28-3.52, 2 Tl 3.40, 3 Dy 3.48-3.54
Tl  0.0000  0.5000  0.0000 x2  10 Tm 3.29-3.40, 2 Tl 3.52

Output
M_tot ... 0.00 μB per formula unit

=====

Question: of the structures shown, which is the least stable? Reply: Q.